# 1
Tl2AgP, optimized geometry, DFT PBE; relative energy among the computed polymorphs = 0.282 eV per atom; calculated total energy = -0.1066 hartree per atom; formation enthalpy at 0 K = 134 kJ/mol of formula units; spin magnetization = 0.0 μB per formula unit
1.0
0.0000 3.6286 3.6286
3.6286 0.0000 3.6286
3.6286 3.6286 0.0000
Tl Ag P
2 1 1
direct
0.2500 0.2500 0.2500
0.7500 0.7500 0.7500
0.0000 0.0000 0.0000
0.5000 0.5000 0.5000

=====

# 2
Nd2DySe4, optimized geometry, DFT PBE; relative energy among the computed polymorphs = 0.040 eV per atom; calculated total energy = -0.2144 hartree per atom; formation energy without anion corrections = -1822 meV per atom; spin magnetization = 0.0 μB per formula unit
1.0
2.0139 -6.9783 0.0000
2.0139 6.9783 0.0000
0.0000 0.0000 14.1004
Nd Dy Se
4 2 8
direct
0.1300 0.8700 0.5716
0.1300 0.8700 0.9284
0.8700 0.1300 0.0716
0.8700 0.1300 0.4284
0.3722 0.6278 0.7500
0.6278 0.3722 0.2500
0.0202 0.9798 0.7500
0.2194 0.7806 0.1258
0.2194 0.7806 0.3742
0.5000 0.5000 0.0000
0.5000 0.5000 0.5000
0.7806 0.2194 0.6258
0.7806 0.2194 0.8742
0.9798 0.0202 0.2500

=====

# 3
Re2Hg, optimized geometry, DFT PBE; relative energy among the computed polymorphs = 0.000 eV per atom; calculated total energy = -0.2940 hartree per atom; formation enthalpy at 0 K = 116 kJ/mol of formula units; spin magnetization = 0.0 μB per formula unit
1.0
2.8475 0.0000 0.0000
-1.4237 2.4660 0.0000
0.0000 0.0000 7.1987
Re Hg
2 1
direct
0.3333 0.6667 0.1418
0.6667 0.3333 0.8582
0.0000 0.0000 0.5000

=====

# 4
Ca3Ac2Cd4, optimized geometry, DFT PBE; relative energy among the computed polymorphs = 0.066 eV per atom; calculated total energy = -0.0807 hartree per atom; formation enthalpy at 0 K = -181 kJ/mol of formula units; spin magnetization = 0.0 μB per formula unit
1.0
3.5732 -9.8739 0.0000
3.5732 9.8739 0.0000
0.0000 0.0000 8.4068
Ca Ac Cd
6 4 8
direct
0.0000 0.0000 0.0000
0.0127 0.4873 0.2500
0.4873 0.0127 0.7500
0.5000 0.5000 0.5000
0.5127 0.9873 0.2500
0.9873 0.5127 0.7500
0.0947 0.9053 0.4032
0.4053 0.5947 0.9032
0.5947 0.4053 0.0968
0.9053 0.0947 0.5968
0.1590 0.8410 0.0172
0.1777 0.3223 0.2500
0.3223 0.1777 0.7500
0.3410 0.6590 0.5172
0.6590 0.3410 0.4828
0.6777 0.8223 0.2500
0.8223 0.6777 0.7500
0.8410 0.1590 0.9828

=====

# 5
Rb3Tl5S12, optimized geometry, DFT PBE; calculated total energy = -0.1293 hartree per atom; formation energy without anion corrections = -306 meV per atom; spin magnetization = 0.0 μB per formula unit
1.0
-8.9982 8.9982 8.9982
8.9982 -8.9982 8.9982
8.9982 8.9982 -8.9982
Rb Tl S
12 20 48
direct
0.1250 0.2500 0.3750
0.1250 0.3750 0.7500
0.2500 0.3750 0.1250
0.2500 0.8750 0.6250
0.3750 0.1250 0.2500
0.3750 0.7500 0.1250
0.6250 0.2500 0.8750
0.6250 0.8750 0.7500
0.7500 0.1250 0.3750
0.7500 0.6250 0.8750
0.8750 0.6250 0.2500
0.8750 0.7500 0.6250
0.0000 0.0000 0.0000
0.0000 0.0000 0.5000
0.0000 0.5000 0.0000
0.0000 0.5000 0.5000
0.1250 0.7500 0.8750
0.1250 0.8750 0.2500
0.2500 0.1250 0.8750
0.2500 0.6250 0.3750
0.3750 0.2500 0.6250
0.3750 0.6250 0.7500
0.5000 0.0000 0.0000
0.5000 0.0000 0.5000
0.5000 0.5000 0.0000
0.5000 0.5000 0.5000
0.6250 0.3750 0.2500
0.6250 0.7500 0.3750
0.7500 0.3750 0.6250
0.7500 0.8750 0.1250
0.8750 0.1250 0.7500
0.8750 0.2500 0.1250
0.0117 0.2180 0.0487
0.0117 0.2937 0.9630
0.0370 0.5487 0.3307
0.0370 0.9883 0.7063
0.0487 0.0117 0.2180
0.0487 0.5370 0.8307
0.1693 0.7180 0.7063
0.1693 0.9513 0.4630
0.2063 0.2180 0.6693
0.2063 0.4883 0.5370
0.2180 0.0487 0.0117
0.2180 0.6693 0.2063
0.2820 0.2937 0.8307
0.2820 0.4883 0.4513
0.2937 0.8307 0.2820
0.2937 0.9630 0.0117
0.3307 0.0370 0.5487
0.3307 0.7937 0.7820
0.4513 0.2820 0.4883
0.4513 0.6693 0.9630
0.4630 0.1693 0.9513
0.4630 0.7937 0.5117
0.4883 0.4513 0.2820
0.4883 0.5370 0.2063
0.5117 0.4630 0.7937
0.5117 0.5487 0.7180
0.5370 0.2063 0.4883
0.5370 0.8307 0.0487
0.5487 0.3307 0.0370
0.5487 0.7180 0.5117
0.6693 0.2063 0.2180
0.6693 0.9630 0.4513
0.7063 0.0370 0.9883
0.7063 0.1693 0.7180
0.7180 0.5117 0.5487
0.7180 0.7063 0.1693
0.7820 0.3307 0.7937
0.7820 0.9513 0.9883
0.7937 0.5117 0.4630
0.7937 0.7820 0.3307
0.8307 0.0487 0.5370
0.8307 0.2820 0.2937
0.9513 0.4630 0.1693
0.9513 0.9883 0.7820
0.9630 0.0117 0.2937
0.9630 0.4513 0.6693
0.9883 0.7063 0.0370
0.9883 0.7820 0.9513

=====

# 6
CuPt3O6, optimized geometry, DFT PBE; calculated total energy = -0.2020 hartree per atom; formation energy without anion corrections = -301 meV per atom; spin magnetization = 0.0 μB per formula unit
1.0
2.6779 1.5461 4.7280
-2.6779 1.5461 4.7280
0.0000 -3.0922 4.7280
Cu Pt O
1 3 6
direct
0.0000 0.0000 0.0000
0.2472 0.2472 0.2472
0.4477 0.4477 0.4477
0.7618 0.7618 0.7618
0.0509 0.3658 0.6485
0.1654 0.8406 0.5446
0.3658 0.6485 0.0509
0.5446 0.1654 0.8406
0.6485 0.0509 0.3658
0.8406 0.5446 0.1654